This record from Alexandria via LeMat-Bulk describes an optimized crystal structure of Fe3BiS. The functional is PBE.

Geometry as POSCAR:
```
Fe3BiS
1.0
4.294 0.000 0.000
0.000 4.294 0.000
0.000 0.000 4.294
Fe Bi S
3 1 1
direct
0.000 0.000 0.500
0.000 0.500 0.000
0.500 0.000 0.000
0.500 0.500 0.500
0.000 0.000 0.000
```

Summary:
The excess energy over the best structure of this formula in the dataset is 0.000 eV per atom. The calculation puts the energy relative to the elements, uncorrected at 0.29 eV/atom. As for the space group: Pm-3m, No. 221.